1.
Compound: In2AgAs
Source: Alexandria via LeMat-Bulk
Functional: PBE
Structure: relaxed

V   22.6 Å³/atom
Space group   C2/m (12)
Calculated formation energy   139 meV/atom
Total magnetization   0.000 μB per atom
Crystal system   monoclinic
Offset from the most stable computed form   124 meV per atom

Cell lengths 5.127, 5.127, 5.946 Å; angles 78.76, 78.76, 36.27 degrees
Atoms (fractional coordinates):
Ag1 0.250 0.250 0.250
As1 0.750 0.750 0.750
In1 0.994 0.994 0.010
In2 0.506 0.506 0.490

2.
Compound: In2AgAs2
Source: Alexandria via LeMat-Bulk
Functional: PBE
Structure: relaxed

V   23.1 Å³/atom
Space group   P4/mbm (127)
Calculated formation energy   125 meV/atom
Total magnetization   0.000 μB per atom
Crystal system   tetragonal
Offset from the most stable computed form   0 meV per atom

Cell lengths 7.568, 7.568, 4.030 Å; angles 90.00, 90.00, 90.00 degrees
Atoms (fractional coordinates):
As1 0.664 0.164 0.000
As2 0.164 0.336 0.000
In1 0.350 0.150 0.500
As3 0.836 0.664 0.000
Ag1 0.000 0.000 0.000
Ag2 0.500 0.500 0.000
In2 0.150 0.650 0.500
As4 0.336 0.836 0.000
In3 0.850 0.350 0.500
In4 0.650 0.850 0.500

Number 2 is which compound?
In2AgAs2

Which formula does entry 1 have?
In2AgAs